# 1
Density functional theory data (PBE) for a relaxed ScTa2Ni9 crystal.

Unit cell a=3.6909 b=3.6909 c=11.0627 alpha=90.00 beta=90.00 gamma=90.00
Space group P4/mmm (No. 123)
Unique sites:
Sc  0.0000  0.0000  0.0000 [1 per cell]
Ta  0.0000  0.0000  0.3316 [2 per cell]
Ni  0.0000  0.5000  0.1724 [4 per cell]
Ni  0.0000  0.5000  0.5000 [2 per cell]
Ni  0.5000  0.5000  0.0000 [1 per cell]
Ni  0.5000  0.5000  0.3374 [2 per cell]

***

# 2
Density functional theory data (PBE) for a relaxed CaTl2Pt crystal.

Unit cell a=4.7633 b=4.8243 c=8.3223 alpha=90.00 beta=90.00 gamma=90.00
Space group Imm2 (No. 44)
Unique sites:
Ca  0.0000  0.0000  0.0000 [2 per cell]
Tl  0.0000  0.0000  0.4965 [2 per cell]
Tl  0.0000  0.5000  0.2477 [2 per cell]
Pt  0.0000  0.5000  0.7504 [2 per cell]

***

| no. | formation enthalpy at 0 K (eV/atom) |
| --- | --- |
| 1 | -0.33 |
| 2 | -0.29 |